(1)
# PBE-GGA BeNi, relaxed
data_BeNi
_cell_length_a 2.4680
_cell_length_b 2.4680
_cell_length_c 7.0975
_cell_angle_alpha 90.00
_cell_angle_beta 90.00
_cell_angle_gamma 120.00
_symmetry_space_group_name_H-M 'P 63/m m c'
_symmetry_Int_Tables_number 194
_symmetry_space_group_name_Hall '-P 6c 2c'
loop_
_atom_site_label
_atom_site_type_symbol
_atom_site_fract_x
_atom_site_fract_y
_atom_site_fract_z
Be1 Be 0.3333 0.6667 0.2500
Ni1 Ni 0.0000 0.0000 0.0000
# Size of the total moment in μB/cell: 0.16
# DFT formation energy in eV/atom: -0.247
# D(E_F) in states/eV per cell: 4.496



(2)
# PBE-GGA CrPd3Cl, relaxed
data_CrPd3Cl
_cell_length_a 4.6264
_cell_length_b 4.6264
_cell_length_c 4.6264
_cell_angle_alpha 90.00
_cell_angle_beta 90.00
_cell_angle_gamma 90.00
_symmetry_space_group_name_H-M 'P m -3 m'
_symmetry_Int_Tables_number 221
_symmetry_space_group_name_Hall '-P 4 2 3'
loop_
_atom_site_label
_atom_site_type_symbol
_atom_site_fract_x
_atom_site_fract_y
_atom_site_fract_z
Cr1 Cr 0.0000 0.0000 0.0000
Pd1 Pd 0.0000 0.0000 0.5000
Cl1 Cl 0.5000 0.5000 0.5000
# ΔE_f (raw) in eV/atom: 0.8792
# Excess energy over the best structure of this formula in the dataset in eV/atom: 0.3146
# Size of the total moment in μB/cell: 0.01
# D(E_F) in states/eV per cell: 4.138



(3)
# PBE-GGA La2Y2Hg, relaxed
data_La2Y2Hg
_cell_length_a 7.9595
_cell_length_b 7.9595
_cell_length_c 5.3281
_cell_angle_alpha 90.00
_cell_angle_beta 90.00
_cell_angle_gamma 90.00
_symmetry_space_group_name_H-M 'P 4/m b m'
_symmetry_Int_Tables_number 127
_symmetry_space_group_name_Hall '-P 4 2ab'
loop_
_atom_site_label
_atom_site_type_symbol
_atom_site_fract_x
_atom_site_fract_y
_atom_site_fract_z
La1 La 0.1536 0.3464 0.0000
Y1 Y 0.1512 0.6512 0.5000
Hg1 Hg 0.0000 0.0000 0.5000
# Excess energy over the best structure of this formula in the dataset in eV/atom: 0.1469
# Size of the total moment in μB/cell: 0.00
# DFT formation energy in eV/atom: -0.046
# D(E_F) in states/eV per cell: 11.170



> D(E_F) of number 1 (BeNi)?

4.496 states/eV per cell



> What is the formula in the first record?

BeNi



> D(E_F) of number 1 (BeNi)?

4.496 states/eV per cell